VASP calculation (PBE-GGA) on crystalline TlCu2Br at its relaxed geometry.

The structure in CIF format:
```
data_TlCu2Br
_chemical_formula_sum 'Tl4 Cu8 Br4'
_space_group_name_H-M_alt 'I -4 2 d'
_space_group_IT_number 122
_space_group_name_Hall 'I -4 2bw'
_cell_length_a 7.123
_cell_length_b 7.123
_cell_length_c 6.722
_cell_angle_alpha 90.00
_cell_angle_beta 90.00
_cell_angle_gamma 90.00
loop_
_atom_site_label
_atom_site_type_symbol
_atom_site_fract_x
_atom_site_fract_y
_atom_site_fract_z
Tl1 Tl 0.000 0.000 0.000
Cu1 Cu 0.229 0.250 0.625
Br1 Br 0.000 0.000 0.500
```

Output
Uncorrected formation energy (eV per atom): 0.255
Relative energy among the computed polymorphs (eV per atom): 0.207